# LaTb4Pb4 PBE optimized geometry
data_LaTb4Pb4
_symmetry_space_group_name_H-M 'P 1'
_symmetry_Int_Tables_number 1
_cell_length_a 6.256
_cell_length_b 9.728
_cell_length_c 9.728
_cell_angle_alpha 90.00
_cell_angle_beta 90.00
_cell_angle_gamma 90.00
loop_
_symmetry_equiv_pos_as_xyz
'x,y,z'
loop_
_atom_site_label
_atom_site_type_symbol
_atom_site_fract_x
_atom_site_fract_y
_atom_site_fract_z
Pb1 Pb 0.499 0.578 0.174
Pb2 Pb 0.001 0.922 0.326
Pb3 Pb 0.001 0.078 0.674
Pb4 Pb 0.501 0.826 0.578
Pb5 Pb 0.999 0.326 0.078
Pb6 Pb 0.501 0.174 0.422
Pb7 Pb 0.999 0.674 0.922
Pb8 Pb 0.499 0.422 0.826
Tb1 Tb 0.999 0.391 0.759
Tb2 Tb 0.999 0.609 0.241
Tb3 Tb 0.499 0.741 0.891
Tb4 Tb 0.501 0.109 0.741
Tb5 Tb 0.499 0.259 0.109
Tb6 Tb 0.001 0.759 0.609
Tb7 Tb 0.001 0.241 0.391
Tb8 Tb 0.501 0.891 0.259
La1 La 0.000 0.000 0.000
La2 La 0.500 0.500 0.500
# Energy relative to the elements = -0.267 eV/atom
# Uncorrected energy = -4.521 eV/atom



# LaTb2Pb PBE optimized geometry
data_LaTb2Pb
_symmetry_space_group_name_H-M 'P 1'
_symmetry_Int_Tables_number 1
_cell_length_a 3.911
_cell_length_b 3.911
_cell_length_c 8.229
_cell_angle_alpha 90.00
_cell_angle_beta 90.00
_cell_angle_gamma 90.00
loop_
_symmetry_equiv_pos_as_xyz
'x,y,z'
loop_
_atom_site_label
_atom_site_type_symbol
_atom_site_fract_x
_atom_site_fract_y
_atom_site_fract_z
Pb1 Pb 0.500 0.500 0.000
La1 La 0.500 0.500 0.500
Tb1 Tb 0.000 0.000 0.781
Tb2 Tb 0.000 0.000 0.219
# Energy relative to the lowest polymorph listed for this composition = 0.510 eV/f.u.
# Energy relative to the elements = -0.201 eV/atom
# Uncorrected energy = -4.675 eV/atom



# La2Tb3Pb4 PBE optimized geometry
data_La2Tb3Pb4
_symmetry_space_group_name_H-M 'P 1'
_symmetry_Int_Tables_number 1
_cell_length_a 8.314
_cell_length_b 8.562
_cell_length_c 8.538
_cell_angle_alpha 90.00
_cell_angle_beta 90.00
_cell_angle_gamma 111.20
loop_
_symmetry_equiv_pos_as_xyz
'x,y,z'
loop_
_atom_site_label
_atom_site_type_symbol
_atom_site_fract_x
_atom_site_fract_y
_atom_site_fract_z
Pb1 Pb 0.860 0.493 0.140
Pb2 Pb 0.140 0.507 0.860
Pb3 Pb 0.164 0.914 0.458
Pb4 Pb 0.336 0.086 0.958
Pb5 Pb 0.640 0.507 0.640
Pb6 Pb 0.664 0.914 0.042
Pb7 Pb 0.836 0.086 0.542
Pb8 Pb 0.360 0.493 0.360
Tb1 Tb 0.000 0.500 0.500
Tb2 Tb 0.260 0.754 0.160
Tb3 Tb 0.500 0.500 0.000
Tb4 Tb 0.760 0.754 0.340
Tb5 Tb 0.740 0.246 0.840
Tb6 Tb 0.240 0.246 0.660
La1 La 0.441 0.807 0.679
La2 La 0.941 0.807 0.821
La3 La 0.559 0.193 0.321
La4 La 0.059 0.193 0.179
# Energy relative to the lowest polymorph listed for this composition = 0.000 eV/f.u.
# Energy relative to the elements = -0.627 eV/atom
# Uncorrected energy = -4.913 eV/atom



# La2TbPb PBE optimized geometry
data_La2TbPb
_symmetry_space_group_name_H-M 'P 1'
_symmetry_Int_Tables_number 1
_cell_length_a 3.702
_cell_length_b 3.702
_cell_length_c 11.637
_cell_angle_alpha 80.85
_cell_angle_beta 80.85
_cell_angle_gamma 60.00
loop_
_symmetry_equiv_pos_as_xyz
'x,y,z'
loop_
_atom_site_label
_atom_site_type_symbol
_atom_site_fract_x
_atom_site_fract_y
_atom_site_fract_z
Pb1 Pb 0.666 0.666 0.001
La1 La 0.252 0.252 0.244
La2 La 0.081 0.081 0.756
Tb1 Tb 0.500 0.500 0.499
# Energy relative to the lowest polymorph listed for this composition = 0.797 eV/f.u.
# Energy relative to the elements = -0.150 eV/atom
# Uncorrected energy = -4.698 eV/atom



# La2TbPb PBE optimized geometry
data_La2TbPb
_symmetry_space_group_name_H-M 'P 1'
_symmetry_Int_Tables_number 1
_cell_length_a 4.393
_cell_length_b 4.393
_cell_length_c 6.887
_cell_angle_alpha 90.00
_cell_angle_beta 90.00
_cell_angle_gamma 90.00
loop_
_symmetry_equiv_pos_as_xyz
'x,y,z'
loop_
_atom_site_label
_atom_site_type_symbol
_atom_site_fract_x
_atom_site_fract_y
_atom_site_fract_z
La1 La 0.000 0.000 0.271
La2 La 0.000 0.000 0.729
Tb1 Tb 0.500 0.500 0.000
Pb1 Pb 0.500 0.500 0.500
# Energy relative to the lowest polymorph listed for this composition = 0.268 eV/f.u.
# Energy relative to the elements = -0.282 eV/atom
# Uncorrected energy = -4.830 eV/atom



# La3TbPb3 PBE optimized geometry
data_La3TbPb3
_symmetry_space_group_name_H-M 'P 1'
_symmetry_Int_Tables_number 1
_cell_length_a 8.100
_cell_length_b 8.100
_cell_length_c 8.485
_cell_angle_alpha 91.75
_cell_angle_beta 91.75
_cell_angle_gamma 114.19
loop_
_symmetry_equiv_pos_as_xyz
'x,y,z'
loop_
_atom_site_label
_atom_site_type_symbol
_atom_site_fract_x
_atom_site_fract_y
_atom_site_fract_z
Pb1 Pb 0.055 0.055 0.782
Pb2 Pb 0.855 0.508 0.703
Pb3 Pb 0.492 0.145 0.297
Pb4 Pb 0.945 0.945 0.218
Pb5 Pb 0.145 0.492 0.297
Pb6 Pb 0.508 0.855 0.703
La1 La 0.771 0.229 0.000
La2 La 0.163 0.837 0.500
La3 La 0.616 0.616 0.362
La4 La 0.837 0.163 0.500
La5 La 0.229 0.771 0.000
La6 La 0.384 0.384 0.638
Tb1 Tb 0.733 0.733 0.920
Tb2 Tb 0.267 0.267 0.080
# Energy relative to the elements = -0.359 eV/atom
# Uncorrected energy = -4.722 eV/atom



# LaTb2Pb PBE optimized geometry
data_LaTb2Pb
_symmetry_space_group_name_H-M 'P 1'
_symmetry_Int_Tables_number 1
_cell_length_a 4.818
_cell_length_b 4.795
_cell_length_c 11.685
_cell_angle_alpha 101.74
_cell_angle_beta 90.00
_cell_angle_gamma 90.00
loop_
_symmetry_equiv_pos_as_xyz
'x,y,z'
loop_
_atom_site_label
_atom_site_type_symbol
_atom_site_fract_x
_atom_site_fract_y
_atom_site_fract_z
Tb1 Tb 0.750 0.061 0.122
Tb2 Tb 0.250 0.939 0.878
Tb3 Tb 0.250 0.556 0.112
Tb4 Tb 0.750 0.444 0.888
Pb1 Pb 0.750 0.840 0.675
Pb2 Pb 0.250 0.160 0.325
La1 La 0.250 0.310 0.617
La2 La 0.750 0.690 0.383
# Energy relative to the lowest polymorph listed for this composition = 0.000 eV/f.u.
# Energy relative to the elements = -0.329 eV/atom
# Uncorrected energy = -4.803 eV/atom



# La2TbPb PBE optimized geometry
data_La2TbPb
_symmetry_space_group_name_H-M 'P 1'
_symmetry_Int_Tables_number 1
_cell_length_a 3.640
_cell_length_b 3.640
_cell_length_c 12.665
_cell_angle_alpha 81.74
_cell_angle_beta 81.74
_cell_angle_gamma 60.00
loop_
_symmetry_equiv_pos_as_xyz
'x,y,z'
loop_
_atom_site_label
_atom_site_type_symbol
_atom_site_fract_x
_atom_site_fract_y
_atom_site_fract_z
Pb1 Pb 0.000 0.000 0.000
Tb1 Tb 0.500 0.500 0.500
La1 La 0.911 0.911 0.266
La2 La 0.089 0.089 0.734
# Energy relative to the lowest polymorph listed for this composition = 1.615 eV/f.u.
# Energy relative to the elements = 0.055 eV/atom
# Uncorrected energy = -4.494 eV/atom



# LaTb2Pb PBE optimized geometry
data_LaTb2Pb
_symmetry_space_group_name_H-M 'P 1'
_symmetry_Int_Tables_number 1
_cell_length_a 3.637
_cell_length_b 3.637
_cell_length_c 11.426
_cell_angle_alpha 80.88
_cell_angle_beta 80.88
_cell_angle_gamma 59.97
loop_
_symmetry_equiv_pos_as_xyz
'x,y,z'
loop_
_atom_site_label
_atom_site_type_symbol
_atom_site_fract_x
_atom_site_fract_y
_atom_site_fract_z
Tb1 Tb 0.256 0.256 0.233
Tb2 Tb 0.078 0.078 0.766
Pb1 Pb 0.666 0.666 0.000
La1 La 0.500 0.500 0.500
# Energy relative to the lowest polymorph listed for this composition = 0.746 eV/f.u.
# Energy relative to the elements = -0.142 eV/atom
# Uncorrected energy = -4.616 eV/atom



# La2Tb3Pb PBE optimized geometry
data_La2Tb3Pb
_symmetry_space_group_name_H-M 'P 1'
_symmetry_Int_Tables_number 1
_cell_length_a 4.918
_cell_length_b 4.975
_cell_length_c 8.192
_cell_angle_alpha 107.68
_cell_angle_beta 90.00
_cell_angle_gamma 90.00
loop_
_symmetry_equiv_pos_as_xyz
'x,y,z'
loop_
_atom_site_label
_atom_site_type_symbol
_atom_site_fract_x
_atom_site_fract_y
_atom_site_fract_z
Tb1 Tb 0.500 0.160 0.320
Tb2 Tb 0.500 0.500 0.000
Tb3 Tb 0.500 0.840 0.680
Pb1 Pb 0.000 0.000 0.000
La1 La 0.000 0.665 0.329
La2 La 0.000 0.335 0.671
# Energy relative to the elements = -0.166 eV/atom
# Uncorrected energy = -4.741 eV/atom



# La2TbPb PBE optimized geometry
data_La2TbPb
_symmetry_space_group_name_H-M 'P 1'
_symmetry_Int_Tables_number 1
_cell_length_a 4.725
_cell_length_b 4.645
_cell_length_c 12.191
_cell_angle_alpha 90.00
_cell_angle_beta 101.36
_cell_angle_gamma 90.00
loop_
_symmetry_equiv_pos_as_xyz
'x,y,z'
loop_
_atom_site_label
_atom_site_type_symbol
_atom_site_fract_x
_atom_site_fract_y
_atom_site_fract_z
Tb1 Tb 0.303 0.250 0.608
Tb2 Tb 0.697 0.750 0.392
La1 La 0.442 0.750 0.859
La2 La 0.088 0.750 0.123
La3 La 0.558 0.250 0.141
La4 La 0.912 0.250 0.877
Pb1 Pb 0.170 0.250 0.344
Pb2 Pb 0.830 0.750 0.656
# Energy relative to the lowest polymorph listed for this composition = 0.332 eV/f.u.
# Energy relative to the elements = -0.266 eV/atom
# Uncorrected energy = -4.814 eV/atom



# LaTb2Pb2 PBE optimized geometry
data_LaTb2Pb2
_symmetry_space_group_name_H-M 'P 1'
_symmetry_Int_Tables_number 1
_cell_length_a 8.391
_cell_length_b 6.481
_cell_length_c 9.160
_cell_angle_alpha 85.58
_cell_angle_beta 62.74
_cell_angle_gamma 49.65
loop_
_symmetry_equiv_pos_as_xyz
'x,y,z'
loop_
_atom_site_label
_atom_site_type_symbol
_atom_site_fract_x
_atom_site_fract_y
_atom_site_fract_z
Tb1 Tb 0.752 0.345 0.537
Tb2 Tb 0.633 0.155 0.963
Tb3 Tb 0.367 0.845 0.037
Tb4 Tb 0.248 0.655 0.463
Pb1 Pb 0.290 0.148 0.342
Pb2 Pb 0.220 0.649 0.842
Pb3 Pb 0.710 0.852 0.658
Pb4 Pb 0.780 0.351 0.158
La1 La 0.128 0.250 0.750
La2 La 0.872 0.750 0.250
# Energy relative to the elements = -0.469 eV/atom
# Uncorrected energy = -4.790 eV/atom



| no. | ρ (g/cm³) | N(E_F) (states/eV per cell) |
| --- | --- | --- |
| 1 | 8.99 | 16.06 |
| 2 | 8.76 | 6.09 |
| 3 | 9.28 | 13.70 |
| 4 | 7.87 | 5.04 |
| 5 | 8.04 | 4.40 |
| 6 | 7.84 | 11.47 |
| 7 | 8.34 | 10.09 |
| 8 | 7.46 | 4.59 |
| 9 | 8.57 | 4.04 |
| 10 | 8.36 | 8.40 |
| 11 | 8.15 | 9.30 |
| 12 | 9.06 | 10.51 |